Entry 1:
Compound: Ag3CF
Source: the Alexandria database
Functional: GGA-PBEsol
Structure: relaxed

Structure (extended XYZ):
```
5
Lattice="4.1823 0.0000 0.0000 0.0000 4.1823 0.0000 0.0000 0.0000 4.1823" Properties=species:S:1:pos:R:3 pbc="T T T"
Ag 0.0000 0.0000 2.0911
Ag 0.0000 2.0911 0.0000
Ag 2.0911 0.0000 0.0000
C 0.0000 0.0000 0.0000
F 2.0911 2.0911 2.0911
```

Properties
Calculated density, g/cm³: 8.05
Final energy, eV/cell: -19.29
Space group: Pm-3m, No. 221
Uncorrected formation energy, eV per atom: 0.444
M_tot, μB/f.u.: 0.00

Entry 2:
Compound: FeAg3C
Source: the Alexandria database
Functional: GGA-PBEsol
Structure: relaxed

Structure (extended XYZ):
```
5
Lattice="4.6907 0.0000 0.0000 0.0000 4.6907 0.0000 0.0000 0.0000 4.6907" Properties=species:S:1:pos:R:3 pbc="T T T"
Fe 0.0000 0.0000 0.0000
Ag 0.0000 0.0000 2.3453
Ag 0.0000 2.3453 0.0000
Ag 2.3453 0.0000 0.0000
C 2.3453 2.3453 2.3453
```

Properties
Calculated density, g/cm³: 6.30
Final energy, eV/cell: -16.56
Space group: Pm-3m, No. 221
Calculated formation energy, kJ/mol of formula units: 1156
M_tot, μB/f.u.: 4.37

Entry 3:
Compound: Fe2AgWC
Source: the Alexandria database
Functional: GGA-PBEsol
Structure: relaxed

Structure (extended XYZ):
```
5
Lattice="4.5429 0.0000 0.0000 0.0000 4.5429 0.0000 0.0000 0.0000 3.9815" Properties=species:S:1:pos:R:3 pbc="T T T"
Fe 0.0000 2.2714 0.0000
Fe 2.2714 0.0000 0.0000
Ag 0.0000 0.0000 1.9907
W 2.2714 2.2714 0.0000
C 2.2714 2.2714 1.9907
```

Properties
Calculated density, g/cm³: 8.39
Final energy, eV/cell: -35.86
Space group: P4/mmm, No. 123
Calculated formation energy, kJ/mol of formula units: 852
M_tot, μB/f.u.: 4.27